# HoPaW

HoPaW after structural relaxation (PBE-GGA, the Open Quantum Materials Database).

Computed properties:
Size of the total moment = 0.00 μB per atom
Energy above the lowest structure with this stoichiometry = 0.000 eV/atom
Theoretical density = 12.2 g/cm3

Unit cell a=4.8106 b=4.8106 c=4.8106 alpha=60.00 beta=60.00 gamma=60.00
Element x y z (fractional)
1 Pa 0.2500 0.2500 0.2500
2 Ho 0.7500 0.7500 0.7500
3 W 0.0000 0.0000 0.0000

# YHoPa

YHoPa after structural relaxation (PBE-GGA, the Open Quantum Materials Database).

Computed properties:
Size of the total moment = 0.92 μB per atom
Energy above the lowest structure with this stoichiometry = 0.000 eV/atom
Theoretical density = 7.8 g/cm3

Unit cell a=5.2644 b=5.2644 c=5.2644 alpha=60.00 beta=60.00 gamma=60.00
Last column: magnetic moment on the atom in μB.
Element x y z (fractional)
1 Ho 0.0000 0.0000 0.0000  0.60
2 Y 0.2500 0.2500 0.2500  0.26
3 Pa 0.7500 0.7500 0.7500  1.33

# HoPaZn

HoPaZn after structural relaxation (PBE-GGA, the Open Quantum Materials Database).

Computed properties:
Size of the total moment = 0.02 μB per atom
Energy above the lowest structure with this stoichiometry = 0.000 eV/atom
Theoretical density = 9.7 g/cm3

Unit cell a=4.8176 b=4.8176 c=4.8176 alpha=60.00 beta=60.00 gamma=60.00
Element x y z (fractional)
1 Pa 0.0000 0.0000 0.0000
2 Ho 0.5000 0.5000 0.5000
3 Zn 0.2500 0.2500 0.2500

# Ho2Pb

Ho2Pb after structural relaxation (PBE-GGA, the Open Quantum Materials Database).

Computed properties:
Size of the total moment = 0.01 μB per atom
Uncorrected energy = -4.69 eV per atom
Theoretical density = 10.5 g/cm3

Unit cell a=6.8764 b=4.8481 c=10.1963 alpha=90.00 beta=90.00 gamma=90.00
Element x y z (fractional)
1 Pb 0.8096 0.7500 0.8741
2 Ho 0.0746 0.2500 0.7897
3 Pb 0.1904 0.2500 0.1259
4 Ho 0.5746 0.2500 0.7103
5 Ho 0.6590 0.2500 0.0511
6 Ho 0.9254 0.7500 0.2103
7 Pb 0.6904 0.2500 0.3741
8 Pb 0.3096 0.7500 0.6259
9 Ho 0.8410 0.7500 0.5511
10 Ho 0.3410 0.7500 0.9489
11 Ho 0.1590 0.2500 0.4489
12 Ho 0.4254 0.7500 0.2897

Question: Which formula does entry 2 have?
Answer: YHoPa

What did the second record say?
# YHoPa

YHoPa after structural relaxation (PBE-GGA, the Open Quantum Materials Database).

Computed properties:
Size of the total moment = 0.92 μB per atom
Energy above the lowest structure with this stoichiometry = 0.000 eV/atom
Theoretical density = 7.8 g/cm3

Unit cell a=5.2644 b=5.2644 c=5.2644 alpha=60.00 beta=60.00 gamma=60.00
Last column: magnetic moment on the atom in μB.
Element x y z (fractional)
1 Ho 0.0000 0.0000 0.0000  0.60
2 Y 0.2500 0.2500 0.2500  0.26
3 Pa 0.7500 0.7500 0.7500  1.33

Question: Among the records above, which one has the lowest size of the total moment?
Answer: HoPaW

Question: Which of these has the lowest size of the total moment?
Answer: HoPaW